[1]
A plane-wave DFT calculation with meta-GGA SCAN was carried out for KTa3N at its PBEsol-relaxed geometry.

The structure in POSCAR format:
```
KTa3N
1.0
4.374 0.000 0.000
0.000 4.374 0.000
0.000 0.000 4.374
K Ta N
1 3 1
Direct
0.000 0.000 0.000
0.000 0.500 0.500
0.500 0.000 0.500
0.500 0.500 0.000
0.500 0.500 0.500
```

Properties
Space group: Pm-3m, No. 221
Energy, eV per atom: -42.71
Energy relative to the elements, uncorrected, eV per formula unit: 3.82

[2]
A plane-wave DFT calculation with meta-GGA SCAN was carried out for KTeN3 at its PBEsol-relaxed geometry.

The structure in POSCAR format:
```
KTeN3
1.0
4.229 0.000 0.000
0.000 4.229 0.000
0.000 0.000 4.229
K Te N
1 1 3
Direct
0.000 0.000 0.000
0.500 0.500 0.500
0.000 0.000 0.500
0.000 0.500 0.000
0.500 0.000 0.000
```

Properties
Space group: Pm-3m, No. 221
Energy, eV per atom: -11.41
Energy relative to the elements, uncorrected, eV per formula unit: 16.40

[3]
A plane-wave DFT calculation with meta-GGA SCAN was carried out for K3TeN at its PBEsol-relaxed geometry.

The structure in POSCAR format:
```
K3TeN
1.0
6.536 0.000 0.000
0.000 6.536 0.000
0.000 0.000 6.536
K Te N
3 1 1
Direct
0.000 0.000 0.500
0.000 0.500 0.000
0.500 0.000 0.000
0.000 0.000 0.000
0.500 0.500 0.500
```

Properties
Space group: Pm-3m, No. 221
Energy, eV per atom: -14.08
Energy relative to the elements, uncorrected, eV per formula unit: 1.13

[4]
A plane-wave DFT calculation with meta-GGA SCAN was carried out for KTiTeN2 at its PBEsol-relaxed geometry.

The structure in POSCAR format:
```
KTiTeN2
1.0
4.531 0.000 0.000
0.000 4.531 0.000
0.000 0.000 6.225
K Ti Te N
1 1 1 2
Direct
0.000 0.000 0.000
0.500 0.500 0.500
0.000 0.000 0.500
0.000 0.500 0.000
0.500 0.000 0.000
```

Properties
Space group: P4/mmm, No. 123
Energy, eV per atom: -14.23
Energy relative to the elements, uncorrected, eV per formula unit: 9.07

[5]
A plane-wave DFT calculation with meta-GGA SCAN was carried out for KTe2WN at its PBEsol-relaxed geometry.

The structure in POSCAR format:
```
KTe2WN
1.0
5.743 0.000 0.000
0.000 5.743 0.000
0.000 0.000 4.402
K Te W N
1 2 1 1
Direct
0.000 0.000 0.000
0.000 0.500 0.000
0.500 0.000 0.000
0.500 0.500 0.500
0.000 0.000 0.500
```

Properties
Space group: P4/mmm, No. 123
Energy, eV per atom: -29.99
Energy relative to the elements, uncorrected, eV per formula unit: 11.87

[6]
A plane-wave DFT calculation with meta-GGA SCAN was carried out for KTiN2 at its PBEsol-relaxed geometry.

The structure in POSCAR format:
```
KTiN2
1.0
5.673 0.000 0.000
0.000 5.673 0.000
0.000 0.000 5.673
K Ti N
4 4 8
Direct
0.000 0.000 0.000
0.000 0.500 0.500
0.500 0.000 0.500
0.500 0.500 0.000
0.000 0.000 0.500
0.000 0.500 0.000
0.500 0.000 0.000
0.500 0.500 0.500
0.250 0.250 0.250
0.250 0.250 0.750
0.250 0.750 0.250
0.250 0.750 0.750
0.750 0.250 0.250
0.750 0.250 0.750
0.750 0.750 0.250
0.750 0.750 0.750
```

Properties
Space group: Fm-3m, No. 225
Energy, eV per atom: -10.00
Energy relative to the elements, uncorrected, eV per formula unit: 2.95

[7]
A plane-wave DFT calculation with meta-GGA SCAN was carried out for K3TlN at its PBEsol-relaxed geometry.

The structure in POSCAR format:
```
K3TlN
1.0
5.524 0.000 0.000
0.000 5.524 0.000
0.000 0.000 5.524
K Tl N
3 1 1
Direct
0.000 0.000 0.500
0.000 0.500 0.000
0.500 0.000 0.000
0.500 0.500 0.500
0.000 0.000 0.000
```

Properties
Space group: Pm-3m, No. 221
Energy, eV per atom: -20.97
Energy relative to the elements, uncorrected, eV per formula unit: 1.77

[8]
A plane-wave DFT calculation with meta-GGA SCAN was carried out for KVN2 at its PBEsol-relaxed geometry.

The structure in POSCAR format:
```
KVN2
1.0
5.584 0.000 0.000
0.000 5.584 0.000
0.000 0.000 8.102
K V N
4 4 8
Direct
0.000 0.000 0.000
0.000 0.500 0.250
0.500 0.000 0.750
0.500 0.500 0.500
0.000 0.000 0.500
0.000 0.500 0.750
0.500 0.000 0.250
0.500 0.500 0.000
0.086 0.250 0.625
0.250 0.586 0.875
0.250 0.914 0.375
0.414 0.250 0.125
0.586 0.750 0.125
0.750 0.086 0.375
0.750 0.414 0.875
0.914 0.750 0.625
```

Properties
Space group: I-42d, No. 122
Energy, eV per atom: -12.08
Energy relative to the elements, uncorrected, eV per formula unit: -3.91

[9]
A plane-wave DFT calculation with meta-GGA SCAN was carried out for KZr3N at its PBEsol-relaxed geometry.

The structure in POSCAR format:
```
KZr3N
1.0
4.621 0.000 0.000
0.000 4.621 0.000
0.000 0.000 4.621
K Zr N
1 3 1
Direct
0.000 0.000 0.000
0.000 0.500 0.500
0.500 0.000 0.500
0.500 0.500 0.000
0.500 0.500 0.500
```

Properties
Space group: Pm-3m, No. 221
Energy, eV per atom: -21.85
Energy relative to the elements, uncorrected, eV per formula unit: 0.44

[10]
A plane-wave DFT calculation with meta-GGA SCAN was carried out for KNa2Nb at its PBEsol-relaxed geometry.

The structure in POSCAR format:
```
KNa2Nb
1.0
9.075 0.000 0.000
0.000 9.075 0.000
0.000 0.000 6.961
K Na Nb
4 8 4
Direct
0.000 0.000 0.000
0.000 0.500 0.250
0.500 0.000 0.750
0.500 0.500 0.500
0.230 0.750 0.625
0.250 0.230 0.375
0.250 0.270 0.875
0.270 0.750 0.125
0.730 0.250 0.125
0.750 0.730 0.875
0.750 0.770 0.375
0.770 0.250 0.625
0.000 0.000 0.500
0.000 0.500 0.750
0.500 0.000 0.250
0.500 0.500 0.000
```

Properties
Space group: I-42d, No. 122
Energy, eV per atom: -11.42
Energy relative to the elements, meV per atom: 1057

[11]
A plane-wave DFT calculation with meta-GGA SCAN was carried out for KNa3Nb at its PBEsol-relaxed geometry.

The structure in POSCAR format:
```
KNa3Nb
1.0
5.680 0.000 0.000
0.000 5.680 0.000
0.000 0.000 5.680
K Na Nb
1 3 1
Direct
0.000 0.000 0.000
0.000 0.000 0.500
0.000 0.500 0.000
0.500 0.000 0.000
0.500 0.500 0.500
```

Properties
Space group: Pm-3m, No. 221
Energy, eV per atom: -9.55
Energy relative to the elements, meV per atom: 1272

[12]
A plane-wave DFT calculation with meta-GGA SCAN was carried out for KNaNdNbO5 at its PBEsol-relaxed geometry.

The structure in POSCAR format:
```
KNaNdNbO5
1.0
5.716 0.000 0.000
0.000 5.716 0.000
0.000 0.000 8.282
K Na Nd Nb O
2 2 2 2 10
Direct
0.250 0.750 0.000
0.750 0.250 0.000
0.250 0.250 0.242
0.750 0.750 0.758
0.250 0.750 0.500
0.750 0.250 0.500
0.250 0.250 0.742
0.750 0.750 0.258
0.018 0.018 0.670
0.018 0.482 0.670
0.250 0.250 0.967
0.482 0.018 0.670
0.482 0.482 0.670
0.518 0.518 0.330
0.518 0.982 0.330
0.750 0.750 0.033
0.982 0.518 0.330
0.982 0.982 0.330
```

Properties
Space group: P4/nmm, No. 129
Energy, eV per atom: -16.24
Energy relative to the elements, uncorrected, eV per formula unit: -25.78

[13]
A plane-wave DFT calculation with meta-GGA SCAN was carried out for KNaNb2Ni at its PBEsol-relaxed geometry.

The structure in POSCAR format:
```
KNaNb2Ni
1.0
4.636 0.000 0.000
0.000 4.636 0.000
0.000 0.000 4.525
K Na Nb Ni
1 1 2 1
Direct
0.000 0.000 0.000
0.000 0.000 0.500
0.000 0.500 0.000
0.500 0.000 0.000
0.500 0.500 0.500
```

Properties
Space group: P4/mmm, No. 123
Energy, eV per atom: -16.38
Energy relative to the elements, meV per atom: 2616

[14]
A plane-wave DFT calculation with meta-GGA SCAN was carried out for K3Na3Nb8P5O35 at its PBEsol-relaxed geometry.

The structure in POSCAR format:
```
K3Na3Nb8P5O35
1.0
4.530 2.615 10.183
-4.530 2.615 10.183
0.000 -5.231 10.183
K Na Nb P O
3 3 8 5 35
Direct
0.000 0.411 0.589
0.411 0.589 0.000
0.589 0.000 0.411
0.285 0.500 0.715
0.500 0.715 0.285
0.715 0.285 0.500
0.070 0.822 0.298
0.178 0.930 0.702
0.234 0.234 0.234
0.298 0.070 0.822
0.702 0.178 0.930
0.766 0.766 0.766
0.822 0.298 0.070
0.930 0.702 0.178
0.058 0.942 0.500
0.407 0.407 0.407
0.500 0.058 0.942
0.593 0.593 0.593
0.942 0.500 0.058
0.000 0.763 0.237
0.045 0.132 0.387
0.058 0.250 0.898
0.084 0.444 0.270
0.102 0.750 0.942
0.132 0.387 0.045
0.156 0.835 0.615
0.165 0.844 0.385
0.237 0.000 0.763
0.250 0.898 0.058
0.262 0.565 0.336
0.270 0.084 0.444
0.336 0.262 0.565
0.385 0.165 0.844
0.387 0.045 0.132
0.435 0.738 0.664
0.444 0.270 0.084
0.457 0.457 0.457
0.543 0.543 0.543
0.556 0.916 0.730
0.565 0.336 0.262
0.613 0.868 0.955
0.615 0.156 0.835
0.664 0.435 0.738
0.730 0.556 0.916
0.738 0.664 0.435
0.750 0.942 0.102
0.763 0.237 0.000
0.835 0.615 0.156
0.844 0.385 0.165
0.868 0.955 0.613
0.898 0.058 0.250
0.916 0.730 0.556
0.942 0.102 0.750
0.955 0.613 0.868
```

Properties
Space group: R32, No. 155
Energy, eV per atom: -13.29
Energy relative to the elements, uncorrected, eV per formula unit: -144.83

[15]
A plane-wave DFT calculation with meta-GGA SCAN was carried out for KNaPrNbO5 at its PBEsol-relaxed geometry.

The structure in POSCAR format:
```
KNaPrNbO5
1.0
5.743 0.000 0.000
0.000 5.743 0.000
0.000 0.000 8.292
K Na Pr Nb O
2 2 2 2 10
Direct
0.250 0.750 0.000
0.750 0.250 0.000
0.250 0.250 0.242
0.750 0.750 0.758
0.250 0.750 0.500
0.750 0.250 0.500
0.250 0.250 0.744
0.750 0.750 0.256
0.019 0.019 0.671
0.019 0.481 0.671
0.250 0.250 0.968
0.481 0.019 0.671
0.481 0.481 0.671
0.519 0.519 0.329
0.519 0.981 0.329
0.750 0.750 0.032
0.981 0.519 0.329
0.981 0.981 0.329
```

Properties
Space group: P4/nmm, No. 129
Energy, eV per atom: -16.21
Energy relative to the elements, uncorrected, eV per formula unit: -25.70

[16]
A plane-wave DFT calculation with meta-GGA SCAN was carried out for KNaSmNbO5 at its PBEsol-relaxed geometry.

The structure in POSCAR format:
```
KNaSmNbO5
1.0
5.670 0.000 0.000
0.000 5.670 0.000
0.000 0.000 8.270
K Na Sm Nb O
2 2 2 2 10
Direct
0.250 0.750 0.000
0.750 0.250 0.000
0.250 0.250 0.242
0.750 0.750 0.758
0.250 0.750 0.500
0.750 0.250 0.500
0.250 0.250 0.740
0.750 0.750 0.260
0.017 0.017 0.666
0.017 0.483 0.666
0.250 0.250 0.966
0.483 0.017 0.666
0.483 0.483 0.666
0.517 0.517 0.334
0.517 0.983 0.334
0.750 0.750 0.034
0.983 0.517 0.334
0.983 0.983 0.334
```

Properties
Space group: P4/nmm, No. 129
Energy, eV per atom: -16.35
Energy relative to the elements, uncorrected, eV per formula unit: -25.88

[17]
A plane-wave DFT calculation with meta-GGA SCAN was carried out for K5Na3Ta2Nb6O24 at its PBEsol-relaxed geometry.

The structure in POSCAR format:
```
K5Na3Ta2Nb6O24
1.0
7.953 0.000 0.000
0.000 5.673 5.694
0.000 -5.673 5.694
K Na Ta Nb O
5 3 2 6 24
Direct
0.000 0.000 0.000
0.000 0.001 0.500
0.000 0.500 0.001
0.000 0.500 0.500
0.500 0.000 0.000
0.500 0.016 0.517
0.500 0.515 0.515
0.500 0.517 0.016
0.251 0.753 0.753
0.749 0.753 0.753
0.252 0.255 0.756
0.252 0.257 0.257
0.252 0.756 0.255
0.748 0.255 0.756
0.748 0.257 0.257
0.748 0.756 0.255
0.000 0.242 0.242
0.000 0.244 0.740
0.000 0.740 0.244
0.000 0.742 0.742
0.252 0.244 0.992
0.252 0.992 0.244
0.253 0.741 0.992
0.253 0.992 0.741
0.254 0.242 0.493
0.254 0.493 0.242
0.255 0.495 0.741
0.255 0.741 0.495
0.500 0.239 0.239
0.500 0.239 0.736
0.500 0.736 0.239
0.500 0.741 0.741
0.745 0.495 0.741
0.745 0.741 0.495
0.746 0.242 0.493
0.746 0.493 0.242
0.747 0.741 0.992
0.747 0.992 0.741
0.748 0.244 0.992
0.748 0.992 0.244
```

Properties
Space group: Amm2, No. 38
Energy, eV per atom: -16.10
Energy relative to the elements, uncorrected, eV per formula unit: -108.20

[18]
A plane-wave DFT calculation with meta-GGA SCAN was carried out for K5Na3Ta4Nb4O24 at its PBEsol-relaxed geometry.

The structure in POSCAR format:
```
K5Na3Ta4Nb4O24
1.0
5.655 -5.648 0.000
5.655 5.648 0.000
-0.009 0.000 7.978
K Na Ta Nb O
5 3 4 4 24
Direct
0.000 0.000 0.000
0.000 0.000 0.499
0.500 0.500 0.000
0.500 0.999 0.000
0.999 0.500 0.000
0.488 0.488 0.506
0.489 0.989 0.506
0.989 0.489 0.506
0.247 0.247 0.251
0.247 0.748 0.750
0.249 0.249 0.748
0.748 0.247 0.750
0.245 0.746 0.254
0.743 0.743 0.257
0.746 0.245 0.254
0.746 0.746 0.753
0.004 0.256 0.743
0.005 0.754 0.248
0.006 0.257 0.249
0.006 0.752 0.742
0.255 0.255 0.996
0.255 0.753 0.994
0.256 0.004 0.743
0.256 0.256 0.497
0.256 0.503 0.741
0.257 0.006 0.249
0.257 0.503 0.251
0.260 0.756 0.497
0.503 0.256 0.741
0.503 0.257 0.251
0.503 0.754 0.741
0.504 0.756 0.247
0.752 0.006 0.742
0.753 0.255 0.994
0.754 0.005 0.248
0.754 0.503 0.741
0.755 0.755 0.496
0.755 0.755 0.995
0.756 0.260 0.497
0.756 0.504 0.247
```

Properties
Space group: Cm, No. 8
Energy, eV per atom: -17.83
Energy relative to the elements, uncorrected, eV per formula unit: -110.49

no.,magnetization (μB/cell)
1,0.00
2,2.13
3,2.00
4,3.00
5,5.95
6,0.00
7,2.46
8,0.00
9,0.00
10,19.95
11,4.77
12,0.00
13,0.00
14,1.10
15,0.00
16,0.00
17,0.00
18,0.00